A relaxed structure of Mn2CuO4, computed with PBE with a Hubbard U.

Summary:
The value obtained for the total energy is -43.758 eV/f.u. The energy above the most stable polymorph in this dataset comes out at 0.584 eV per atom. Its crystal system is tetragonal.

a b c (Å): 5.4947 5.4947 5.5099
angles (deg): 90.00 90.00 90.00
Closest atoms and distances in Å follow each position.
Space group I422 (No. 97)
Asymmetric unit:
Mn (0.0000, 0.5000, 0.0000) (multiplicity 4)  4 O 1.92
Cu (0.0000, 0.0000, 0.0000) (multiplicity 2)  8 O 2.46, 4 Mn 2.75
O (0.1723, 0.3277, 0.7500) (multiplicity 8)  2 Mn 1.92